#one
Material: Na2SrAu2
Method: DFT, GGA-PBE
State: optimized geometry

Cell lengths 4.3959, 4.3959, 14.0496 Å; angles 90.00, 90.00, 90.00 degrees
Space group I4/mmm (No. 139)
Inequivalent atoms, fractional coordinates:
Na 0.0000 0.5000 0.2500 [4 per cell]
Sr 0.0000 0.0000 0.0000 [2 per cell]
Au 0.0000 0.0000 0.4015 [4 per cell]

Calculated values
M_tot, Bohr magnetons per cell: 0.00
Calculated volume, Å³ per cell: 271
Fermi-level density of states, states/eV/f.u.: 2.393
Density, g cm⁻³: 6.45

#two
Material: Na2SrAu2
Method: DFT, GGA-PBE
State: optimized geometry

Cell lengths 4.2451, 4.6653, 28.5218 Å; angles 90.00, 90.00, 90.00 degrees
Space group Imma (No. 74)
Inequivalent atoms, fractional coordinates:
Na 0.0000 0.2500 0.1912 [4 per cell]
Na 0.0000 0.2500 0.6976 [4 per cell]
Sr 0.0000 0.2500 0.4318 [4 per cell]
Au 0.0000 0.2500 0.8768 [4 per cell]
Au 0.0000 0.2500 0.9736 [4 per cell]

Calculated values
M_tot, Bohr magnetons per cell: 0.00
Calculated volume, Å³ per cell: 565
Fermi-level density of states, states/eV/f.u.: 1.926
Density, g cm⁻³: 6.20

Last place for stability: #two

#one
Material: Na2TaAu
Method: DFT, GGA-PBE
State: optimized geometry

Cell lengths 7.0533, 7.0533, 7.0533 Å; angles 90.00, 90.00, 90.00 degrees
Space group Fm-3m (No. 225)
Inequivalent atoms, fractional coordinates:
Na 0.2500 0.2500 0.2500 [8 per cell]
Ta 0.0000 0.0000 0.0000 [4 per cell]
Au 0.0000 0.0000 0.5000 [4 per cell]

Calculated values
M_tot, Bohr magnetons per cell: 14.03
Calculated volume, Å³ per cell: 351
Fermi-level density of states, states/eV/f.u.: 3.476
Density, g cm⁻³: 8.02

#two
Material: Na2TaAu
Method: DFT, GGA-PBE
State: optimized geometry

Cell lengths 8.4127, 8.4127, 5.3746 Å; angles 90.00, 90.00, 90.00 degrees
Space group I-42d (No. 122)
Inequivalent atoms, fractional coordinates:
Na 0.2128 0.2500 0.1250 [8 per cell]
Ta 0.0000 0.0000 0.5000 [4 per cell]
Au 0.0000 0.0000 0.0000 [4 per cell]

Calculated values
M_tot, Bohr magnetons per cell: 5.74
Calculated volume, Å³ per cell: 380
Fermi-level density of states, states/eV/f.u.: 3.081
Density, g cm⁻³: 7.40

Last place for stability: #one

#one
Material: Na3TaAu
Method: DFT, GGA-PBE
State: optimized geometry

Cell lengths 5.9041, 5.9041, 5.9041 Å; angles 90.00, 90.00, 90.00 degrees
Space group Pm-3m (No. 221)
Inequivalent atoms, fractional coordinates:
Na 0.0000 0.0000 0.5000 [3 per cell]
Ta 0.0000 0.0000 0.0000 [1 per cell]
Au 0.5000 0.5000 0.5000 [1 per cell]

Calculated values
M_tot, Bohr magnetons per cell: 5.00
Calculated volume, Å³ per cell: 206
Fermi-level density of states, states/eV/f.u.: 10.772
Density, g cm⁻³: 3.61

#two
Material: Na3TaAu
Method: DFT, GGA-PBE
State: optimized geometry

Cell lengths 5.4464, 5.4464, 5.4464 Å; angles 90.00, 90.00, 90.00 degrees
Space group Pm-3m (No. 221)
Inequivalent atoms, fractional coordinates:
Na 0.0000 0.0000 0.5000 [3 per cell]
Ta 0.5000 0.5000 0.5000 [1 per cell]
Au 0.0000 0.0000 0.0000 [1 per cell]

Calculated values
M_tot, Bohr magnetons per cell: 4.63
Calculated volume, Å³ per cell: 162
Fermi-level density of states, states/eV/f.u.: 4.752
Density, g cm⁻³: 4.59

Last place for stability: #one

#one
Material: NaTa3Au
Method: DFT, GGA-PBE
State: optimized geometry

Cell lengths 4.6324, 4.6324, 4.6324 Å; angles 90.00, 90.00, 90.00 degrees
Space group Pm-3m (No. 221)
Inequivalent atoms, fractional coordinates:
Na 0.0000 0.0000 0.0000 [1 per cell]
Ta 0.0000 0.0000 0.5000 [3 per cell]
Au 0.5000 0.5000 0.5000 [1 per cell]

Calculated values
M_tot, Bohr magnetons per cell: 0.00
Calculated volume, Å³ per cell: 99
Fermi-level density of states, states/eV/f.u.: 8.931
Density, g cm⁻³: 12.74

#two
Material: NaTa3Au
Method: DFT, GGA-PBE
State: optimized geometry

Cell lengths 5.0360, 5.0360, 5.0360 Å; angles 90.00, 90.00, 90.00 degrees
Space group Pm-3m (No. 221)
Inequivalent atoms, fractional coordinates:
Na 0.0000 0.0000 0.0000 [1 per cell]
Ta 0.0000 0.5000 0.5000 [3 per cell]
Au 0.5000 0.5000 0.5000 [1 per cell]

Calculated values
M_tot, Bohr magnetons per cell: 0.00
Calculated volume, Å³ per cell: 128
Fermi-level density of states, states/eV/f.u.: 12.077
Density, g cm⁻³: 9.92

Last place for stability: #one